## 1
Material: CrIn3Mo
Method: DFT, PBE
State: optimized geometry

Structure (CIF):
```
data_CrIn3Mo
_space_group_name_H-M_alt 'P 1'
_space_group_IT_number 1
_cell_length_a 4.909
_cell_length_b 4.909
_cell_length_c 4.909
_cell_angle_alpha 90.00
_cell_angle_beta 90.00
_cell_angle_gamma 90.00
loop_
_space_group_symop_operation_xyz
'x,y,z'
loop_
_atom_site_label
_atom_site_type_symbol
_atom_site_fract_x
_atom_site_fract_y
_atom_site_fract_z
Cr1 Cr 0.000 0.000 0.000
Mo1 Mo 0.500 0.500 0.500
In1 In 0.000 0.500 0.000
In2 In 0.000 0.000 0.500
In3 In 0.500 0.000 0.000
```

## 2
Material: CrIn3Mo
Method: DFT, PBE
State: optimized geometry

Structure (CIF):
```
data_CrIn3Mo
_space_group_name_H-M_alt 'P 1'
_space_group_IT_number 1
_cell_length_a 5.216
_cell_length_b 5.216
_cell_length_c 5.216
_cell_angle_alpha 90.00
_cell_angle_beta 90.00
_cell_angle_gamma 90.00
loop_
_space_group_symop_operation_xyz
'x,y,z'
loop_
_atom_site_label
_atom_site_type_symbol
_atom_site_fract_x
_atom_site_fract_y
_atom_site_fract_z
Cr1 Cr 0.500 0.500 0.500
Mo1 Mo 0.000 0.000 0.000
In1 In 0.000 0.500 0.000
In2 In 0.000 0.000 0.500
In3 In 0.500 0.000 0.000
```

Pick 2: it beats the second-best structure by 0.010 eV/atom.